A plane-wave DFT calculation with GGA-PBE was carried out for an optimized crystal structure of CrAs2P.

Geometry as extended XYZ:
```
4
Lattice="-0.400 2.945 -0.390 -1.323 0.176 2.684 6.507 1.297 3.121" Properties=species:S:1:pos:R:3 pbc="T T T"
As 5.967 1.189 2.863
As 1.274 1.986 2.171
Cr 3.626 0.723 1.739
P 3.678 2.465 3.324
```

Calculated values
- energy of formation (eV/atom) = 0.01